The following is a PBE-GGA calculation of crystalline AlNi2HAu at its relaxed geometry, from Alexandria via LeMat-Bulk.

Summary:
The magnetization comes out at 0.00 μB/f.u. The raw total energy is -22.8 eV/cell. The relative energy among the computed polymorphs comes out at 44 meV/atom.

abc: 3.763 3.763 3.950
angles: 90.00 90.00 90.00
Space group P4/mmm (No. 123)
Asymmetric unit:
Al (0.000, 0.000, 0.000) [1 per cell]
Ni (0.000, 0.500, 0.500) [2 per cell]
H (0.500, 0.500, 0.500) [1 per cell]
Au (0.500, 0.500, 0.000) [1 per cell]

***

The following is a PBE-GGA calculation of crystalline CaIn2Au at its relaxed geometry, from Alexandria via LeMat-Bulk.

Summary:
Its energy of formation is -0.2845 eV/atom. The magnetization comes out at 0.00 μB/f.u. The raw total energy is -47.6 eV/cell.

abc: 4.396 4.396 22.052
angles: 90.00 90.00 90.00
Space group I-42d (No. 122)
Asymmetric unit:
Ca (0.000, 0.000, 0.000) [4 per cell]
In (0.232, 0.250, 0.625) [8 per cell]
Au (0.000, 0.000, 0.500) [4 per cell]

***

The following is a PBE-GGA calculation of crystalline Ho2Te4Pb at its relaxed geometry, from Alexandria via LeMat-Bulk.

Summary:
The calculation puts the energy relative to the elements, uncorrected at -105.3 kJ per mole of atoms. The magnetization comes out at 0.00 μB/f.u. The raw total energy is -66.1 eV/cell.

abc: 16.859 4.414 7.626
angles: 90.00 115.02 90.00
Space group C2/m (No. 12)
Asymmetric unit:
Ho (0.240, 0.000, 0.224) [4 per cell]
Te (0.129, 0.500, 0.962) [4 per cell]
Te (0.142, 0.000, 0.488) [4 per cell]
Pb (0.000, 0.500, 0.500) [2 per cell]